# PmYSn2

Crystalline PmYSn2 at its relaxed geometry (PBE, the Alexandria database).

* space group: P4/mmm (123)
* ΔE_f: -0.65 eV per atom

abc: 4.9221 4.9221 4.4989
angles: 90.00 90.00 90.00
Closest atoms and distances in Å follow each position.
Positions (direct):
Pm: 0.0000 0.0000 0.0000  8 Sn 3.33, 4 Y 3.48
Y: 0.5000 0.5000 0.0000  8 Sn 3.33, 4 Pm 3.48
Sn: 0.0000 0.5000 0.5000  4 Pm 3.33, 4 Y 3.33, 4 Sn 3.48
Sn: 0.5000 0.0000 0.5000  4 Pm 3.33, 4 Y 3.33, 4 Sn 3.48

# Pr4SmY5

Crystalline Pr4SmY5 at its relaxed geometry (PBE, the Alexandria database).

* space group: P4/mmm (123)
* energy relative to the lowest polymorph listed for this composition: 0 meV per atom
* ΔE_f: 0.01 eV per atom

abc: 3.6489 3.6489 25.4670
angles: 90.00 90.00 90.00
Closest atoms and distances in Å follow each position.
Positions (direct):
Pr: 0.0000 0.0000 0.1003  8 Y 3.63, 4 Pr 3.65
Pr: 0.0000 0.0000 0.3010  8 Y 3.63-3.64, 4 Pr 3.65
Pr: 0.0000 0.0000 0.6990  8 Y 3.63-3.64, 4 Pr 3.65
Pr: 0.0000 0.0000 0.8997  8 Y 3.63, 4 Pr 3.65
Sm: 0.0000 0.0000 0.5000  8 Y 3.59, 4 Sm 3.65
Y: 0.5000 0.5000 0.0000  8 Pr 3.63, 4 Y 3.65
Y: 0.5000 0.5000 0.2008  8 Pr 3.63, 4 Y 3.65
Y: 0.5000 0.5000 0.4017  4 Sm 3.59, 4 Pr 3.64, 4 Y 3.65
Y: 0.5000 0.5000 0.5983  4 Sm 3.59, 4 Pr 3.64, 4 Y 3.65
Y: 0.5000 0.5000 0.7992  8 Pr 3.63, 4 Y 3.65

# CsHf2MnMo

Crystalline CsHf2MnMo at its relaxed geometry (PBE, the Alexandria database).

* space group: P4/mmm (123)
* energy relative to the lowest polymorph listed for this composition: 0 meV per atom
* ΔE_f: 1.11 eV per atom

abc: 5.1233 5.1233 5.4070
angles: 90.00 90.00 90.00
Closest atoms and distances in Å follow each position.
Positions (direct):
Cs: 0.0000 0.0000 0.0000  4 Mn 3.62, 8 Hf 3.72
Hf: 0.0000 0.5000 0.5000  2 Mo 2.56
Hf: 0.5000 0.0000 0.5000  2 Mo 2.56
Mn: 0.5000 0.5000 0.0000  2 Mo 2.70
Mo: 0.5000 0.5000 0.5000  4 Hf 2.56, 2 Mn 2.70

# PuCd2Hg5

Crystalline PuCd2Hg5 at its relaxed geometry (PBE, the Alexandria database).

* space group: I4/mmm (139)
* energy relative to the lowest polymorph listed for this composition: 0 meV per atom
* ΔE_f: -0.05 eV per atom

abc: 9.2768 9.2768 9.2768
angles: 150.07 150.07 42.84
Closest atoms and distances in Å follow each position.
Positions (direct):
Pu: 0.0000 0.0000 0.0000  12 Hg 3.29-3.39
Cd: 0.2447 0.2447 0.0000  8 Hg 3.11-3.23, 4 Cd 3.39
Cd: 0.7553 0.7553 0.0000  8 Hg 3.11-3.23, 4 Cd 3.39
Hg: 0.1302 0.6302 0.5000  4 Cd 3.11-3.23, 6 Hg 3.29-3.39, 2 Pu 3.29
Hg: 0.3698 0.8698 0.5000  4 Cd 3.11-3.23, 6 Hg 3.29-3.39, 2 Pu 3.29
Hg: 0.5000 0.5000 0.0000  8 Hg 3.29, 4 Pu 3.39
Hg: 0.6302 0.1302 0.5000  4 Cd 3.11-3.23, 6 Hg 3.29-3.39, 2 Pu 3.29
Hg: 0.8698 0.3698 0.5000  4 Cd 3.11-3.23, 6 Hg 3.29-3.39, 2 Pu 3.29